# Ac6Co2Tc

A relaxed structure of Ac6Co2Tc (PBE, the Alexandria database).

The structure in POSCAR format:
```
Ac6Co2Tc
1.0
7.318 0.000 0.000
0.000 6.866 0.000
-7.315 0.000 12.407
Ac Co Tc
12 4 2
Direct
0.003 0.245 0.332
0.003 0.255 0.832
0.336 0.723 0.000
0.336 0.777 0.500
0.340 0.243 0.669
0.340 0.257 0.169
0.660 0.743 0.831
0.660 0.757 0.331
0.664 0.223 0.500
0.664 0.277 0.000
0.997 0.745 0.168
0.997 0.755 0.668
0.315 0.001 0.315
0.315 0.499 0.815
0.685 0.501 0.185
0.685 0.999 0.685
0.000 0.000 0.500
0.000 0.500 0.000
```

Calculated values
Energy relative to the elements   0.05 eV/atom
Size of the total moment   0.00 Bohr magnetons per cell
Mass density   8.4 Mg/m³